# 1
AlCdAg2Se4: optimized geometry, PBE.

- Total magnetization: 0.000 μB/atom
- ρ: 5.19 g cm⁻³
- Formation energy without anion corrections: -0.4326 eV per atom

Lattice parameters (Å, degrees): 6.0578 6.0578 11.6929 90.00 90.00 90.00
Space group I-4 (No. 82)
Inequivalent atoms, fractional coordinates:
Al 0.0000 0.0000 0.0000 (multiplicity 2)
Cd 0.0000 0.5000 0.2500 (multiplicity 2)
Ag 0.0000 0.0000 0.5000 (multiplicity 2)
Ag 0.0000 0.5000 0.7500 (multiplicity 2)
Se 0.2308 0.2367 0.8838 (multiplicity 8)

# 2
Li4LaAg12: optimized geometry, PBE.

- Total magnetization: 0.000 μB/atom
- ρ: 7.25 g cm⁻³
- Formation enthalpy at 0 K: 0.156 eV/atom

Lattice parameters (Å, degrees): 8.7489 8.7489 8.7489 90.00 90.00 90.00
Space group Im-3 (No. 204)
Inequivalent atoms, fractional coordinates:
Li 0.2500 0.2500 0.2500 (multiplicity 8)
La 0.0000 0.0000 0.0000 (multiplicity 2)
Ag 0.0000 0.3437 0.1606 (multiplicity 24)